(1)
# NbTcIr2, optimized geometry, DFT PBE-GGA
data_NbTcIr2
_chemical_formula_sum 'Nb4 Tc4 Ir8'
_symmetry_space_group_name_H-M 'F m -3 m'
_symmetry_Int_Tables_number 225
_symmetry_space_group_name_Hall '-F 4 2 3'
_cell_length_a 6.339
_cell_length_b 6.339
_cell_length_c 6.339
_cell_angle_alpha 90.00
_cell_angle_beta 90.00
_cell_angle_gamma 90.00
loop_
_atom_site_label
_atom_site_fract_x
_atom_site_fract_y
_atom_site_fract_z
_atom_site_occupancy
Nb1 0.000 0.000 0.000 1
Tc1 0.000 0.000 0.500 1
Ir1 0.250 0.250 0.250 1
# - polymorph energy (0 for the lowest one) (meV/atom) = 583
# - calculated formation energy (eV/atom) = 0.142
# - final energy (eV/atom) = -9.3970
# - Fermi-level density of states (states/eV/f.u.) = 7.9


(2)
# CaAsOF2, optimized geometry, DFT PBE-GGA
data_CaAsOF2
_chemical_formula_sum 'Ca1 As1 O1 F2'
_symmetry_space_group_name_H-M 'P 4/m m m'
_symmetry_Int_Tables_number 123
_symmetry_space_group_name_Hall '-P 4 2'
_cell_length_a 4.496
_cell_length_b 4.496
_cell_length_c 3.989
_cell_angle_alpha 90.00
_cell_angle_beta 90.00
_cell_angle_gamma 90.00
loop_
_atom_site_label
_atom_site_fract_x
_atom_site_fract_y
_atom_site_fract_z
_atom_site_occupancy
Ca1 0.000 0.000 0.000 1
As1 0.500 0.500 0.500 1
O1 0.500 0.500 0.000 1
F1 0.000 0.500 0.500 1
# - polymorph energy (0 for the lowest one) (meV/atom) = 0
# - E_form (uncorrected) (meV/atom) = -1712
# - final energy (eV/atom) = -4.7828
# - Fermi-level density of states (states/eV/f.u.) = 2.3


(3)
# KHgRhPb2, optimized geometry, DFT PBE-GGA
data_KHgRhPb2
_chemical_formula_sum 'K1 Hg1 Rh1 Pb2'
_symmetry_space_group_name_H-M 'P 4/m m m'
_symmetry_Int_Tables_number 123
_symmetry_space_group_name_Hall '-P 4 2'
_cell_length_a 5.217
_cell_length_b 5.217
_cell_length_c 6.256
_cell_angle_alpha 90.00
_cell_angle_beta 90.00
_cell_angle_gamma 90.00
loop_
_atom_site_label
_atom_site_fract_x
_atom_site_fract_y
_atom_site_fract_z
_atom_site_occupancy
K1 0.000 0.000 0.000 1
Hg1 0.500 0.500 0.000 1
Rh1 0.000 0.000 0.500 1
Pb1 0.000 0.500 0.500 1
# - polymorph energy (0 for the lowest one) (meV/atom) = 58
# - calculated formation energy (eV/atom) = 0.022
# - final energy (eV/atom) = -3.2113
# - Fermi-level density of states (states/eV/f.u.) = 3.2


(4)
# Y4Er3Sc2, optimized geometry, DFT PBE-GGA
data_Y4Er3Sc2
_chemical_formula_sum 'Y16 Er12 Sc8'
_symmetry_space_group_name_H-M 'C c c m'
_symmetry_Int_Tables_number 66
_symmetry_space_group_name_Hall '-C 2 2c'
_cell_length_a 9.527
_cell_length_b 16.454
_cell_length_c 6.878
_cell_angle_alpha 90.00
_cell_angle_beta 90.00
_cell_angle_gamma 90.00
loop_
_atom_site_label
_atom_site_fract_x
_atom_site_fract_y
_atom_site_fract_z
_atom_site_occupancy
Y1 0.142 0.172 0.000 1
Y2 0.169 0.490 0.000 1
Er1 0.000 0.000 0.250 1
Er2 0.000 0.333 0.250 1
Sc1 0.191 0.164 0.500 1
# - polymorph energy (0 for the lowest one) (meV/atom) = 0
# - calculated formation energy (eV/atom) = 0.068
# - final energy (eV/atom) = -5.7328
# - Fermi-level density of states (states/eV/f.u.) = 14.3


(5)
# Dy2BiRh, optimized geometry, DFT PBE-GGA
data_Dy2BiRh
_chemical_formula_sum 'Dy6 Bi3 Rh3'
_symmetry_space_group_name_H-M 'R -3 m'
_symmetry_Int_Tables_number 166
_symmetry_space_group_name_Hall '-R 3 2"'
_cell_length_a 5.0339
_cell_length_b 5.0339
_cell_length_c 13.4301
_cell_angle_alpha 90.00
_cell_angle_beta 90.00
_cell_angle_gamma 120.00
loop_
_atom_site_label
_atom_site_fract_x
_atom_site_fract_y
_atom_site_fract_z
_atom_site_occupancy
Dy1 0.0000 0.0000 0.2436 1
Bi1 0.0000 0.0000 0.0000 1
Rh1 0.0000 0.0000 0.5000 1
# - polymorph energy (0 for the lowest one) (meV/atom) = 213
# - calculated formation energy (eV/atom) = -0.595
# - final energy (eV/atom) = -5.7044
# - Fermi-level density of states (states/eV/f.u.) = 1.2


(6)
# AcTbSm5Ho2, optimized geometry, DFT PBE-GGA
data_AcTbSm5Ho2
_chemical_formula_sum 'Ac4 Tb4 Sm20 Ho8'
_symmetry_space_group_name_H-M 'C m c 21'
_symmetry_Int_Tables_number 36
_cell_length_a 5.550
_cell_length_b 24.240
_cell_length_c 9.435
_cell_angle_alpha 90.00
_cell_angle_beta 90.00
_cell_angle_gamma 90.00
loop_
_symmetry_equiv_pos_as_xyz
'x,y,z'
'-x,-y,z+1/2'
'-x,y,z'
'x,-y,z+1/2'
'x+1/2,y+1/2,z'
'-x+1/2,-y+1/2,z+1/2'
'-x+1/2,y+1/2,z'
'x+1/2,-y+1/2,z+1/2'
loop_
_atom_site_label
_atom_site_fract_x
_atom_site_fract_y
_atom_site_fract_z
_atom_site_occupancy
Ac1 0.000 0.102 0.000 1
Tb1 0.000 0.261 0.610 1
Sm1 0.000 0.024 0.325 1
Sm2 0.000 0.105 0.603 1
Sm3 0.000 0.190 0.298 1
Sm4 0.000 0.242 0.936 1
Sm5 0.000 0.491 0.104 1
Ho1 0.000 0.327 0.249 1
Ho2 0.000 0.388 0.856 1
# - calculated formation energy (eV/atom) = 0.147
# - final energy (eV/atom) = -4.4626
# - Fermi-level density of states (states/eV/f.u.) = 11.5


(7)
# CaSm2Bi, optimized geometry, DFT PBE-GGA
data_CaSm2Bi
_chemical_formula_sum 'Ca1 Sm2 Bi1'
_symmetry_space_group_name_H-M 'P 4/m m m'
_symmetry_Int_Tables_number 123
_symmetry_space_group_name_Hall '-P 4 2'
_cell_length_a 4.332
_cell_length_b 4.332
_cell_length_c 6.882
_cell_angle_alpha 90.00
_cell_angle_beta 90.00
_cell_angle_gamma 90.00
loop_
_atom_site_label
_atom_site_fract_x
_atom_site_fract_y
_atom_site_fract_z
_atom_site_occupancy
Ca1 0.000 0.000 0.000 1
Sm1 0.500 0.500 0.265 1
Bi1 0.000 0.000 0.500 1
# - polymorph energy (0 for the lowest one) (meV/atom) = 0
# - calculated formation energy (eV/atom) = -0.374
# - final energy (eV/atom) = -4.2042
# - Fermi-level density of states (states/eV/f.u.) = 3.8


(8)
# ZrBePb2, optimized geometry, DFT PBE-GGA
data_ZrBePb2
_chemical_formula_sum 'Zr2 Be2 Pb4'
_symmetry_space_group_name_H-M 'C 1 m 1'
_symmetry_Int_Tables_number 8
_cell_length_a 11.862
_cell_length_b 3.220
_cell_length_c 5.200
_cell_angle_alpha 90.00
_cell_angle_beta 115.80
_cell_angle_gamma 90.00
loop_
_symmetry_equiv_pos_as_xyz
'x,y,z'
'x,-y,z'
'x+1/2,y+1/2,z'
'x+1/2,-y+1/2,z'
loop_
_atom_site_label
_atom_site_fract_x
_atom_site_fract_y
_atom_site_fract_z
_atom_site_occupancy
Zr1 0.000 0.000 0.000 1
Be1 0.201 0.500 0.211 1
Pb1 0.214 0.000 0.720 1
Pb2 0.423 0.000 0.424 1
# - calculated formation energy (eV/atom) = 0.230
# - final energy (eV/atom) = -4.6927
# - Fermi-level density of states (states/eV/f.u.) = 1.4


(9)
# Ca4AlIn, optimized geometry, DFT PBE-GGA
data_Ca4AlIn
_chemical_formula_sum 'Ca12 Al3 In3'
_symmetry_space_group_name_H-M 'R -3 m'
_symmetry_Int_Tables_number 166
_symmetry_space_group_name_Hall '-R 3 2"'
_cell_length_a 5.3784
_cell_length_b 5.3784
_cell_length_c 26.2481
_cell_angle_alpha 90.00
_cell_angle_beta 90.00
_cell_angle_gamma 120.00
loop_
_atom_site_label
_atom_site_fract_x
_atom_site_fract_y
_atom_site_fract_z
_atom_site_occupancy
Ca1 0.0000 0.0000 0.1230 1
Ca2 0.0000 0.0000 0.3728 1
Al1 0.0000 0.0000 0.0000 1
In1 0.0000 0.0000 0.5000 1
# - polymorph energy (0 for the lowest one) (meV/atom) = 136
# - calculated formation energy (eV/atom) = -0.109
# - final energy (eV/atom) = -2.5236
# - Fermi-level density of states (states/eV/f.u.) = 6.5


(10)
# In2FeCu, optimized geometry, DFT PBE-GGA
data_In2FeCu
_chemical_formula_sum 'In6 Fe3 Cu3'
_symmetry_space_group_name_H-M 'R -3 m'
_symmetry_Int_Tables_number 166
_symmetry_space_group_name_Hall '-R 3 2"'
_cell_length_a 3.0827
_cell_length_b 3.0827
_cell_length_c 25.9785
_cell_angle_alpha 90.00
_cell_angle_beta 90.00
_cell_angle_gamma 120.00
loop_
_atom_site_label
_atom_site_fract_x
_atom_site_fract_y
_atom_site_fract_z
_atom_site_occupancy
In1 0.0000 0.0000 0.2493 1
Fe1 0.0000 0.0000 0.0000 1
Cu1 0.0000 0.0000 0.5000 1
# - polymorph energy (0 for the lowest one) (meV/atom) = 120
# - calculated formation energy (eV/atom) = 0.330
# - final energy (eV/atom) = -4.1786
# - Fermi-level density of states (states/eV/f.u.) = 2.4


(11)
# Sr2BiPb2, optimized geometry, DFT PBE-GGA
data_Sr2BiPb2
_chemical_formula_sum 'Sr4 Bi2 Pb4'
_symmetry_space_group_name_H-M 'P -1'
_symmetry_Int_Tables_number 2
_cell_length_a 4.906
_cell_length_b 6.471
_cell_length_c 13.139
_cell_angle_alpha 103.68
_cell_angle_beta 90.02
_cell_angle_gamma 112.25
loop_
_symmetry_equiv_pos_as_xyz
'x,y,z'
'-x,-y,-z'
loop_
_atom_site_label
_atom_site_fract_x
_atom_site_fract_y
_atom_site_fract_z
_atom_site_occupancy
Sr1 0.030 0.061 0.183 1
Sr2 0.164 0.326 0.597 1
Bi1 0.334 0.670 0.216 1
Pb1 0.333 0.664 0.969 1
Pb2 0.443 0.884 0.595 1
# - polymorph energy (0 for the lowest one) (meV/atom) = 41
# - calculated formation energy (eV/atom) = -0.485
# - final energy (eV/atom) = -3.4174
# - Fermi-level density of states (states/eV/f.u.) = 1.8


(12)
# NpGeC2, optimized geometry, DFT PBE-GGA
data_NpGeC2
_chemical_formula_sum 'Np3 Ge3 C6'
_symmetry_space_group_name_H-M 'R -3 m'
_symmetry_Int_Tables_number 166
_symmetry_space_group_name_Hall '-R 3 2"'
_cell_length_a 3.7378
_cell_length_b 3.7378
_cell_length_c 17.0237
_cell_angle_alpha 90.00
_cell_angle_beta 90.00
_cell_angle_gamma 120.00
loop_
_atom_site_label
_atom_site_fract_x
_atom_site_fract_y
_atom_site_fract_z
_atom_site_occupancy
Np1 0.0000 0.0000 0.0000 1
Ge1 0.0000 0.0000 0.5000 1
C1 0.0000 0.0000 0.3925 1
# - calculated formation energy (eV/atom) = 0.762
# - final energy (eV/atom) = -8.2395
# - Fermi-level density of states (states/eV/f.u.) = 6.5


Q: Fermi-level density of states of number 11 (Sr2BiPb2)?
A: 1.8 states/eV/f.u.


Q: What is the Fermi-level density of states in the seventh record?
A: 3.8 states/eV/f.u.